Record 1
The following is a DFT calculation (GGA-PBE) of KLaRh2 after structural relaxation.

Output
total DFT energy (no corrections)	-63.5	eV/cell
calculated density	4.75	g/cm³
energy relative to the lowest polymorph listed for this composition	0.0	meV per atom

a = 4.4038 Å, b = 4.4038 Å, c = 23.9660 Å
α = 90.00°, β = 90.00°, γ = 120.00°
Space group R3m (No. 160, hexagonal axes)
Symmetry-distinct sites (fractional):
K: 0.0000 0.0000 0.0000 [3 per cell]
La: 0.0000 0.0000 0.8350 [3 per cell]
Rh: 0.0000 0.0000 0.2337 [3 per cell]
Rh: 0.0000 0.0000 0.5672 [3 per cell]

=====

Record 2
The following is a DFT calculation (GGA-PBE) of TlSiHSe after structural relaxation.

Output
total DFT energy (no corrections)	-14.8	eV/cell
calculated density	5.30	g/cm³
energy relative to the lowest polymorph listed for this composition	15.6	meV per atom

a = 4.869 Å, b = 3.551 Å, c = 5.835 Å
α = 90.00°, β = 104.13°, γ = 90.00°
Space group Pm (No. 6)
Symmetry-distinct sites (fractional):
Tl: 0.000 0.000 0.000 [1 per cell]
Si: 0.563 0.000 0.387 [1 per cell]
H: 0.497 0.000 0.631 [1 per cell]
Se: 0.910 0.500 0.471 [1 per cell]

=====

Record 3
The following is a DFT calculation (GGA-PBE) of Sc2MnCr after structural relaxation.

Output
total DFT energy (no corrections)	-90.3	eV/cell
calculated density	4.58	g/cm³
energy relative to the lowest polymorph listed for this composition	260.8	meV per atom

a = 3.0497 Å, b = 3.0497 Å, c = 26.5755 Å
α = 90.00°, β = 90.00°, γ = 120.00°
Space group R3m (No. 160, hexagonal axes)
Symmetry-distinct sites (fractional):
Sc: 0.0000 0.0000 0.0000 [3 per cell]
Sc: 0.0000 0.0000 0.2238 [3 per cell]
Mn: 0.0000 0.0000 0.7489 [3 per cell]
Cr: 0.0000 0.0000 0.4729 [3 per cell]

=====

Record 4
The following is a DFT calculation (GGA-PBE) of MnWS after structural relaxation.

Output
total DFT energy (no corrections)	-53.2	eV/cell
calculated density	10.07	g/cm³

a = 2.760 Å, b = 2.760 Å, c = 11.721 Å
α = 90.00°, β = 90.00°, γ = 90.00°
Space group P4/nmm (No. 129, origin choice 2)
Symmetry-distinct sites (fractional):
Mn: 0.250 0.250 0.244 [2 per cell]
W: 0.250 0.250 0.593 [2 per cell]
S: 0.250 0.250 0.855 [2 per cell]

=====

- total DFT energy (no corrections) of number 1 (KLaRh2)?
  -63.5 eV/cell